Material: Cu
Method: DFT, GGA-PBE
State: optimized geometry

**Formation enthalpy at 0 K**: 56 meV/atom
**Space group**: C2/m

a b c (Å): 4.382 4.382 18.690
angles (deg): 90.98 90.98 47.88
Atoms (fractional coordinates):
Cu  0.044  0.044  0.125
Cu  0.051  0.051  0.566
Cu  0.146  0.146  0.259
Cu  0.153  0.153  0.697
Cu  0.249  0.249  0.390
Cu  0.256  0.256  0.829
Cu  0.346  0.346  0.088
Cu  0.350  0.350  0.522
Cu  0.351  0.351  0.961
Cu  0.447  0.447  0.216
Cu  0.452  0.452  0.653
Cu  0.548  0.548  0.347
Cu  0.553  0.553  0.784
Cu  0.649  0.649  0.039
Cu  0.650  0.650  0.478
Cu  0.654  0.654  0.912
Cu  0.744  0.744  0.171
Cu  0.751  0.751  0.610
Cu  0.847  0.847  0.303
Cu  0.854  0.854  0.741
Cu  0.949  0.949  0.434
Cu  0.956  0.956  0.875